No. 1
## Ho2AgN (GGA-PBE)

Data for an optimized crystal structure of Ho2AgN.

Output
symmetry	No. 166
formation energy without anion corrections	-862	meV/atom
total magnetic moment	0.00	μB/cell

Cell lengths 7.859, 7.859, 7.859 Å; angles 25.48, 25.48, 25.48 degrees
Fractional positions:
1 Ho 0.226 0.226 0.226
2 Ho 0.774 0.774 0.774
3 Ag 0.000 0.000 0.000
4 N 0.500 0.500 0.500



No. 2
## Ho3AgN (GGA-PBE)

Data for an optimized crystal structure of Ho3AgN.

Output
symmetry	No. 221
formation energy without anion corrections	-757	meV/atom
total magnetic moment	0.00	μB/cell

Cell lengths 4.764, 4.764, 4.764 Å; angles 90.00, 90.00, 90.00 degrees
Fractional positions:
1 Ho 0.000 0.000 0.500
2 Ho 0.000 0.500 0.000
3 Ho 0.500 0.000 0.000
4 Ag 0.500 0.500 0.500
5 N 0.000 0.000 0.000



No. 3
## HoAgN (GGA-PBE)

Data for an optimized crystal structure of HoAgN.

Output
symmetry	No. 14
formation energy without anion corrections	-689	meV/atom
total magnetic moment	0.00	μB/cell

Cell lengths 6.333, 5.933, 5.904 Å; angles 90.00, 103.90, 90.00 degrees
Fractional positions:
1 Ho 0.132 0.041 0.280
2 Ho 0.132 0.459 0.780
3 Ho 0.868 0.541 0.220
4 Ho 0.868 0.959 0.720
5 Ag 0.392 0.616 0.306
6 Ag 0.392 0.884 0.806
7 Ag 0.608 0.116 0.194
8 Ag 0.608 0.384 0.694
9 N 0.065 0.748 0.018
10 N 0.065 0.752 0.518
11 N 0.935 0.248 0.482
12 N 0.935 0.252 0.982